VASP calculation (PBE) on a relaxed Th3TcRh crystal.

a = 11.6444 Å, b = 3.9467 Å, c = 11.2324 Å
α = 90.00°, β = 90.00°, γ = 90.00°
Fractional coordinates of all 20 atoms:
Th (0.0618, 0.2500, 0.1316)
Th (0.1253, 0.7500, 0.5633)
Th (0.2170, 0.2500, 0.8113)
Th (0.2830, 0.7500, 0.3113)
Th (0.3747, 0.2500, 0.0633)
Th (0.4382, 0.7500, 0.6316)
Th (0.5618, 0.2500, 0.3684)
Th (0.6253, 0.7500, 0.9367)
Th (0.7170, 0.2500, 0.6887)
Th (0.7830, 0.7500, 0.1887)
Th (0.8747, 0.2500, 0.4367)
Th (0.9382, 0.7500, 0.8684)
Tc (0.1829, 0.7500, 0.9947)
Tc (0.3171, 0.2500, 0.4947)
Tc (0.6829, 0.7500, 0.5053)
Tc (0.8171, 0.2500, 0.0053)
Rh (0.0107, 0.7500, 0.3215)
Rh (0.4893, 0.2500, 0.8215)
Rh (0.5107, 0.7500, 0.1785)
Rh (0.9893, 0.2500, 0.6785)

Output
Its volume is 516.20 Å³/cell. The value obtained for the spin magnetization is 0.00 μB per cell. The value obtained for the uncorrected energy is -8.41 eV/atom. Its space group is No. 62.